The following is a DFT calculation (PBE) of crystalline LiFeAs2 at its relaxed geometry.

a = 4.479 Å, b = 4.479 Å, c = 4.479 Å
α = 60.00°, β = 60.00°, γ = 60.00°
Atoms (fractional coordinates):
Li (0.750, 0.750, 0.750)
Fe (0.500, 0.500, 0.500)
As (0.000, 0.000, 0.000)
As (0.250, 0.250, 0.250)

Results
Space group ... No. 216
Magnetization ... 0.619 μB per atom
E above lowest polymorph ... 0.520 eV/atom
Formation enthalpy at 0 K ... 0.265 eV per atom